Record 1
First-principles (SCAN) data for a PBEsol-optimized structure of TaAg3Pt, as listed in Alexandria.

Cell: 4.864 4.864 4.864 Å, 90.00 90.00 90.00°
Site moments in Bohr magnetons follow the coordinates.
Atoms (fractional coordinates):
Pt (0.000, 0.000, 0.000)  0.16
Ag (0.000, 0.500, 0.000)  -0.01
Ag (0.000, 0.000, 0.500)  -0.01
Ta (0.500, 0.500, 0.500)  1.95
Ag (0.500, 0.000, 0.000)  -0.01

Output
**SG**: Pm-3m
**Calculated density**: 10.094 g/cm³



Record 2
First-principles (SCAN) data for a PBEsol-optimized structure of TaAg2Pt, as listed in Alexandria.

Cell: 2.843 2.843 9.513 Å, 81.41 81.41 60.00°
Atoms (fractional coordinates):
Ag (0.000, 0.000, 0.999)
Pt (0.502, 0.502, 0.493)
Ta (0.247, 0.247, 0.260)
Ag (0.751, 0.751, 0.747)

Output
**SG**: R3m
**Calculated density**: 14.985 g/cm³



Record 3
First-principles (SCAN) data for a PBEsol-optimized structure of TaAgPt, as listed in Alexandria.

Cell: 2.841 2.841 7.025 Å, 90.00 90.00 120.00°
Atoms (fractional coordinates):
Ta (0.667, 0.333, 0.345)
Ag (0.000, 0.000, 0.997)
Pt (0.333, 0.667, 0.657)

Output
**SG**: P3m1
**Calculated density**: 16.370 g/cm³



no.,energy relative to the elements (eV per atom)
1,1.6196
2,-0.0838
3,-0.1092